The following is a meta-GGA SCAN calculation of MgIr2Ru2 at its PBEsol-relaxed geometry, from Alexandria.

Cell: 3.8227 3.8227 6.2561 Å, 107.79 107.79 90.00°
Sites, in units of the cell vectors:
Ir  0.6039  0.6039  0.2079
Ir  0.3961  0.3961  0.7921
Ru  0.7500  0.2500  0.5000
Ru  0.2500  0.7500  0.5000
Mg  0.0000  0.0000  0.0000

Uncorrected energy = -43.21 eV per atom
Formation energy from the elements = 14.5 kJ per mole of atoms
Theoretical density = 12.3 g/cm³



The following is a meta-GGA SCAN calculation of La2YMnSe at its PBEsol-relaxed geometry, from Alexandria.

Cell: 4.5613 5.7242 5.7242 Å, 90.00 90.00 90.00°
Site moments in Bohr magnetons follow the coordinates.
Sites, in units of the cell vectors:
Se  0.0000  0.0000  0.0000  -0.02
Mn  0.5000  0.0000  0.0000  3.86
La  0.0000  0.0000  0.5000  -0.19
La  0.0000  0.5000  0.0000  -0.19
Y  0.5000  0.5000  0.5000  -0.43

Uncorrected energy = -30.91 eV per atom
Formation energy from raw total energies = -0.435 eV per atom
Theoretical density = 5.6 g/cm³



The following is a meta-GGA SCAN calculation of Y2Zr at its PBEsol-relaxed geometry, from Alexandria.

Cell: 5.2687 5.2687 6.7831 Å, 90.00 90.00 120.00°
Sites, in units of the cell vectors:
Zr  0.6667  0.3333  0.2500
Zr  0.3333  0.6667  0.7500
Y  0.0000  0.0000  0.0000
Y  0.0000  0.0000  0.5000
Y  0.6667  0.3333  0.7500
Y  0.3333  0.6667  0.2500

Uncorrected energy = -28.63 eV per atom
Formation energy from the elements = 15.7 kJ per mole of atoms
Theoretical density = 5.5 g/cm³



| no. | D(E_F) (states/eV/f.u.) |
| --- | --- |
| 1 | 4.51 |
| 2 | 4.11 |
| 3 | 5.71 |